1.
SrLa2NiHg | GGA-PBE | relaxed

Cell: 5.4826 5.4826 5.2678 Å, 90.00 90.00 90.00°
Closest atoms and distances in Å follow each position.
Fractional coordinates of all 5 atoms:
Ni1 0.0000 0.0000 0.0000  2 Hg 2.63, 4 La 2.74
La1 0.5000 0.0000 0.0000  2 Ni 2.74
La2 0.0000 0.5000 0.0000  2 Ni 2.74
Hg1 0.0000 0.0000 0.5000  2 Ni 2.63
Sr1 0.5000 0.5000 0.5000  8 La 3.80, 4 Hg 3.88

Properties
- space-group type = No. 123
- energy of formation (eV per formula unit) = -0.614
- raw total energy (eV per atom) = -3.647



2.
LaPm2IO4 | GGA-PBE | relaxed

Cell: 4.0986 4.0986 9.7374 Å, 90.00 90.00 90.00°
Closest atoms and distances in Å follow each position.
Fractional coordinates of all 8 atoms:
O1 0.0000 0.5000 0.1532  2 Pm 2.26
O2 0.5000 0.0000 0.1532  2 Pm 2.26
O3 0.5000 0.0000 0.8468  2 Pm 2.26
O4 0.0000 0.5000 0.8468  2 Pm 2.26
Pm1 0.5000 0.5000 0.7483  4 O 2.26
Pm2 0.5000 0.5000 0.2517  4 O 2.26
I1 0.0000 0.0000 0.5000  8 Pm 3.77, 8 O 3.95, 4 I 4.10
La1 0.0000 0.0000 0.0000  8 O 2.53

Properties
- raw formation energy (meV/atom) = -3102
- space-group type = No. 123
- raw total energy (eV per atom) = -7.578



3.
Al7Cu2Tc2 | GGA-PBE | relaxed

Cell: 5.2368 6.9723 5.2368 Å, 90.00 110.00 90.00°
Closest atoms and distances in Å follow each position.
Fractional coordinates of all 11 atoms:
Cu1 0.8076 0.5000 0.8076  1 Cu 2.31, 2 Al 2.44
Cu2 0.1924 0.5000 0.1924  1 Cu 2.31, 2 Al 2.44
Al1 0.4999 0.7068 0.0000  2 Tc 2.58, 2 Cu 2.61, 3 Al 2.62-2.88
Al2 0.5000 0.7288 0.5000  2 Cu 2.44, 2 Tc 2.51, 4 Al 2.62
Al3 0.0000 0.2932 0.4999  2 Tc 2.58, 2 Cu 2.61, 3 Al 2.62-2.88
Al4 0.0000 0.7068 0.5001  2 Tc 2.58, 2 Cu 2.61, 3 Al 2.62-2.88
Al5 0.5001 0.2932 0.0000  2 Tc 2.58, 2 Cu 2.61, 3 Al 2.62-2.88
Al6 0.5000 0.2712 0.5000  2 Cu 2.44, 2 Tc 2.51, 4 Al 2.62
Al7 0.0000 0.0000 0.0000  2 Tc 2.64
Tc1 0.3078 0.0000 0.6922  7 Al 2.51-2.64
Tc2 0.6922 0.0000 0.3078  7 Al 2.51-2.64

Properties
- space-group type = No. 65
- energy of formation (eV per formula unit) = -0.588
- raw total energy (eV per atom) = -5.065



4.
Dy2InAgSe4 | GGA-PBE | relaxed

Cell: 4.1626 7.2612 14.8777 Å, 90.00 90.00 106.66°
Closest atoms and distances in Å follow each position.
Fractional coordinates of all 16 atoms:
Se1 0.0000 0.0000 0.0000  4 Dy 2.95
Se2 0.7322 0.4643 0.6024  1 Ag 2.63, 3 Dy 2.87-2.91
Se3 0.5482 0.0963 0.2500  2 Ag 2.64, 2 Dy 2.93
Se4 0.2678 0.5357 0.3976  1 Ag 2.63, 3 Dy 2.87-2.91
Se5 0.0000 0.0000 0.5000  4 Dy 2.95
Se6 0.2678 0.5357 0.1024  1 Ag 2.63, 3 Dy 2.87-2.91
Se7 0.4518 0.9037 0.7500  2 Ag 2.64, 2 Dy 2.93
Se8 0.7322 0.4643 0.8976  1 Ag 2.63, 3 Dy 2.87-2.91
Ag1 0.8356 0.6713 0.7500  4 Se 2.63-2.64
Ag2 0.1644 0.3287 0.2500  4 Se 2.63-2.64
Dy1 0.6308 0.2615 0.4314  6 Se 2.87-2.95
Dy2 0.6308 0.2615 0.0686  6 Se 2.87-2.95
Dy3 0.3692 0.7385 0.9314  6 Se 2.87-2.95
Dy4 0.3692 0.7385 0.5686  6 Se 2.87-2.95
In1 0.1216 0.2432 0.7500  6 Se 3.15-3.39
In2 0.8784 0.7568 0.2500  6 Se 3.15-3.39

Properties
- raw formation energy (meV/atom) = -1231
- space-group type = No. 63
- raw total energy (eV per atom) = -4.823



5.
Cs2HfGeCl6 | GGA-PBE | relaxed

Cell: 7.3441 7.3441 8.2865 Å, 63.70 63.70 90.00°
Closest atoms and distances in Å follow each position.
Fractional coordinates of all 10 atoms:
Cl1 0.7627 0.7627 0.0000  1 Hf 2.47, 1 Ge 2.73
Cl2 0.2373 0.2373 0.0000  1 Hf 2.47, 1 Ge 2.73
Cl3 0.2373 0.7627 0.0000  1 Hf 2.47, 1 Ge 2.73
Cl4 0.7627 0.2373 0.0000  1 Hf 2.47, 1 Ge 2.73
Cl5 0.8061 0.8061 0.3878  1 Hf 2.50
Cl6 0.1939 0.1939 0.6122  1 Hf 2.50
Cs1 0.7500 0.2500 0.5000  12 Cl 3.74-4.15
Cs2 0.2500 0.7500 0.5000  12 Cl 3.74-4.15
Hf1 0.0000 0.0000 0.0000  6 Cl 2.47-2.50
Ge1 0.5000 0.5000 0.0000  4 Cl 2.73

Properties
- raw formation energy (meV/atom) = -1455
- space-group type = No. 139
- raw total energy (eV per atom) = -4.191



6.
LiAl2FeI | GGA-PBE | relaxed

Cell: 4.8016 5.0726 4.8016 Å, 90.00 90.00 90.00°
Closest atoms and distances in Å follow each position.
Fractional coordinates of all 5 atoms:
Fe1 0.5000 0.5000 0.5000  4 I 3.40, 8 Al 3.49
Al1 0.0000 0.0000 0.5000  2 Li 2.40
Al2 0.5000 0.0000 0.0000  2 Li 2.40
I1 0.0000 0.5000 0.0000  2 Li 2.54
Li1 0.0000 0.0000 0.0000  4 Al 2.40, 2 I 2.54

Properties
- raw formation energy (meV/atom) = 949
- space-group type = No. 123
- raw total energy (eV per atom) = -2.934



7.
MnSeI | GGA-PBE | relaxed

Cell: 6.5992 3.8157 3.8157 Å, 120.00 90.00 90.00°
Closest atoms and distances in Å follow each position.
Fractional coordinates of all 3 atoms:
Mn1 0.0295 0.0000 0.0000  3 Se 2.54
Se1 0.2198 0.3333 0.6667  3 Mn 2.54
I1 0.7507 0.6667 0.3333  3 Mn 2.87

Properties
- raw formation energy (meV/atom) = -324
- space-group type = No. 156
- raw total energy (eV per atom) = -5.059



8.
CsK4Na | GGA-PBE | relaxed

Cell: 8.5896 8.5896 8.5896 Å, 60.00 60.00 60.00°
Closest atoms and distances in Å follow each position.
Fractional coordinates of all 6 atoms:
Na1 0.0000 0.0000 0.0000  12 K 5.03, 4 Cs 5.26
K1 0.6260 0.6260 0.1221  6 K 4.26-4.33
K2 0.6260 0.6260 0.6260  6 K 4.26-4.33
K3 0.1221 0.6260 0.6260  6 K 4.26-4.33
K4 0.6260 0.1221 0.6260  6 K 4.26-4.33
Cs1 0.2500 0.2500 0.2500  12 K 5.04, 4 Na 5.26

Properties
- space-group type = No. 216
- energy of formation (eV per formula unit) = 0.334
- raw total energy (eV per atom) = -1.038



9.
Tb5Nd4Ho4 | GGA-PBE | relaxed

Cell: 5.0581 9.4985 9.4985 Å, 85.93 74.56 74.56°
Closest atoms and distances in Å follow each position.
Fractional coordinates of all 13 atoms:
Tb1 0.3102 0.1503 0.2294  4 Tb 3.55-3.56, 5 Ho 3.56-3.61, 3 Nd 3.59-3.63
Tb2 0.6898 0.8497 0.7706  4 Tb 3.55-3.56, 5 Ho 3.56-3.61, 3 Nd 3.59-3.63
Tb3 0.0000 0.0000 0.0000  8 Tb 3.56, 4 Ho 3.58
Tb4 0.5396 0.7706 0.1503  4 Tb 3.55-3.56, 5 Ho 3.56-3.61, 3 Nd 3.59-3.63
Tb5 0.4604 0.2294 0.8497  4 Tb 3.55-3.56, 5 Ho 3.56-3.61, 3 Nd 3.59-3.63
Nd1 0.3823 0.6959 0.5396  4 Ho 3.56-3.59, 3 Tb 3.59-3.63, 5 Nd 3.62-3.66
Nd2 0.9218 0.4604 0.6959  4 Ho 3.56-3.59, 3 Tb 3.59-3.63, 5 Nd 3.62-3.66
Nd3 0.0782 0.5396 0.3041  4 Ho 3.56-3.59, 3 Tb 3.59-3.63, 5 Nd 3.62-3.66
Nd4 0.6177 0.3041 0.4604  4 Ho 3.56-3.59, 3 Tb 3.59-3.63, 5 Nd 3.62-3.66
Ho1 0.1533 0.0765 0.6168  4 Nd 3.56-3.59, 6 Tb 3.56-3.61, 2 Ho 3.60
Ho2 0.7702 0.3832 0.0765  4 Nd 3.56-3.59, 6 Tb 3.56-3.61, 2 Ho 3.60
Ho3 0.2298 0.6168 0.9235  4 Nd 3.56-3.59, 6 Tb 3.56-3.61, 2 Ho 3.60
Ho4 0.8467 0.9235 0.3832  4 Nd 3.56-3.59, 6 Tb 3.56-3.61, 2 Ho 3.60

Properties
- space-group type = No. 87
- energy of formation (eV per formula unit) = 0.226
- raw total energy (eV per atom) = -4.639



10.
SiSnIF6 | GGA-PBE | relaxed

Cell: 7.5645 5.8662 5.4359 Å, 90.82 83.77 43.21°
Closest atoms and distances in Å follow each position.
Fractional coordinates of all 9 atoms:
F1 0.6576 0.9687 0.3277  1 Si 1.76
F2 0.0186 0.6272 0.6635  1 Si 1.77
F3 0.2501 0.5427 0.2537  1 Si 1.63
F4 0.4426 0.0609 0.7238  1 Si 1.78
F5 0.4257 0.4803 0.6258  1 Si 1.65
F6 0.2413 0.1533 0.3718  1 Si 1.78
Si1 0.3397 0.3270 0.4884  6 F 1.63-1.78
Sn1 0.8018 0.5310 0.5295  4 F 2.27-2.30
I1 0.8224 0.3090 0.0157  2 Sn 2.93-3.00

Properties
- raw formation energy (meV/atom) = -2398
- space-group type = No. 1
- raw total energy (eV per atom) = -4.865



11.
ZnCu4O5 | GGA-PBE | relaxed

Cell: 4.2394 5.2206 5.2206 Å, 80.51 66.04 66.04°
Closest atoms and distances in Å follow each position.
Fractional coordinates of all 10 atoms:
Cu1 0.6021 0.5977 0.2001  6 O 2.11-2.14
Cu2 0.8022 0.7999 0.5977  6 O 2.11-2.14
Cu3 0.4000 0.4023 0.7999  6 O 2.11-2.14
Cu4 0.1998 0.2001 0.4023  6 O 2.11-2.14
O1 0.5010 0.0000 0.0000  2 Zn 2.12, 4 Cu 2.14
O2 0.3015 0.8021 0.5970  5 Cu 2.11-2.14, 1 Zn 2.14
O3 0.8985 0.4030 0.8021  5 Cu 2.11-2.14, 1 Zn 2.14
O4 0.1036 0.5970 0.1979  5 Cu 2.11-2.14, 1 Zn 2.14
O5 0.7006 0.1979 0.4030  5 Cu 2.11-2.14, 1 Zn 2.14
Zn1 0.0010 0.0000 0.0000  6 O 2.12-2.14

Properties
- raw formation energy (meV/atom) = -579
- space-group type = No. 87
- raw total energy (eV per atom) = -4.824